Entry 1:
Li4PmEu | PBE | optimized geometry

Unit cell a=6.053 b=6.053 c=6.053 alpha=60.00 beta=60.00 gamma=60.00
Element x y z (fractional)
Eu 0.250 0.250 0.250
Li 0.626 0.626 0.123
Li 0.626 0.123 0.626
Li 0.626 0.626 0.626
Li 0.123 0.626 0.626
Pm 0.000 0.000 0.000

Values from the calculation:
The total magnetic moment is 1.3251 μB per atom. The calculation puts the total energy at -22.14 eV per cell. The calculation puts the density at 3.44 g/cm3. Its crystal system is cubic.

Entry 2:
Li2PmEu | PBE | optimized geometry

Unit cell a=3.849 b=3.849 c=8.027 alpha=90.00 beta=90.00 gamma=90.00
Element x y z (fractional)
Eu 0.500 0.500 0.500
Li 0.000 0.000 0.766
Li 0.000 0.000 0.234
Pm 0.500 0.500 0.000

Values from the calculation:
The total magnetic moment is 1.9788 μB per atom. The calculation puts the density at 4.34 g/cm3. For the energy above the lowest structure with this stoichiometry, the calculation gives 0.0000 eV/atom. Its crystal system is tetragonal.

Entry 3:
Li2PmEu | PBE | optimized geometry

Unit cell a=5.509 b=5.509 c=5.509 alpha=60.00 beta=60.00 gamma=60.00
Element x y z (fractional)
Eu 0.500 0.500 0.500
Li 0.250 0.250 0.250
Li 0.750 0.750 0.750
Pm 0.000 0.000 0.000

Values from the calculation:
The total magnetic moment is 1.8579 μB per atom. The calculation puts the density at 4.37 g/cm3. For the energy above the lowest structure with this stoichiometry, the calculation gives 0.0225 eV/atom. Its crystal system is cubic.

Entry 4:
LiPmPrEu | PBE | optimized geometry

Unit cell a=5.754 b=5.754 c=5.754 alpha=60.00 beta=60.00 gamma=60.00
Element x y z (fractional)
Eu 0.750 0.750 0.750
Pr 0.250 0.250 0.250
Li 0.000 0.000 0.000
Pm 0.500 0.500 0.500

Values from the calculation:
The total magnetic moment is 1.7982 μB per atom. The calculation puts the total energy at -20.87 eV per cell. The calculation puts the density at 5.48 g/cm3. Its crystal system is cubic.

Entry 5:
LiPmEuPt | PBE | optimized geometry

Unit cell a=5.126 b=5.126 c=5.126 alpha=60.00 beta=60.00 gamma=60.00
Element x y z (fractional)
Eu 0.000 0.000 0.000
Li 0.250 0.250 0.250
Pt 0.750 0.750 0.750
Pm 0.500 0.500 0.500

Values from the calculation:
The total magnetic moment is 1.7475 μB per atom. The calculation puts the total energy at -25.09 eV per cell. The calculation puts the density at 8.70 g/cm3. Its crystal system is cubic.

Entry 6:
LiPmEuRh | PBE | optimized geometry

Unit cell a=5.081 b=5.081 c=5.081 alpha=60.00 beta=60.00 gamma=60.00
Element x y z (fractional)
Eu 0.750 0.750 0.750
Li 0.000 0.000 0.000
Rh 0.500 0.500 0.500
Pm 0.250 0.250 0.250

Values from the calculation:
The total magnetic moment is 1.7781 μB per atom. The calculation puts the total energy at -25.51 eV per cell. The calculation puts the density at 7.28 g/cm3. Its crystal system is cubic.